A.
This record from Alexandria via LeMat-Bulk describes a geometry-optimized Co2AgI structure. The functional is PBE.

Output
theoretical density	8.299	Mg/m³
spin magnetization	2.3	μB per formula unit

Cell: 5.738 5.738 5.738 Å, 104.12 104.12 120.80°
Element x y z (fractional)
Co (0.104, 0.625, 0.979)
Co (0.375, 0.354, 0.479)
Co (0.646, 0.125, 0.021)
Co (0.875, 0.896, 0.521)
Ag (0.250, 0.750, 0.500)
Ag (0.500, 0.500, 0.000)
I (0.000, 0.000, 0.000)
I (0.750, 0.250, 0.500)

B.
This record from Alexandria via LeMat-Bulk describes a geometry-optimized Co2AgI structure. The functional is PBE.

Output
theoretical density	9.082	Mg/m³
spin magnetization	2.6	μB per formula unit

Cell: 4.501 4.501 4.501 Å, 60.00 60.00 60.00°
Element x y z (fractional)
Co (0.250, 0.250, 0.250)
Co (0.750, 0.750, 0.750)
Ag (0.000, 0.000, 0.000)
I (0.500, 0.500, 0.500)

In terms of stability, B leads; the second structure lies 131 meV per atom higher.

A.
This record from Alexandria via LeMat-Bulk describes a geometry-optimized CoAg2I2 structure. The functional is PBE.

Output
theoretical density	7.170	Mg/m³
spin magnetization	1.9	μB per formula unit

Cell: 7.563 7.563 4.280 Å, 90.00 90.00 90.00°
Element x y z (fractional)
Co (0.000, 0.000, 0.000)
Co (0.500, 0.500, 0.000)
Ag (0.135, 0.365, 0.000)
Ag (0.365, 0.865, 0.000)
Ag (0.635, 0.135, 0.000)
Ag (0.865, 0.635, 0.000)
I (0.182, 0.682, 0.500)
I (0.318, 0.182, 0.500)
I (0.682, 0.818, 0.500)
I (0.818, 0.318, 0.500)

B.
This record from Alexandria via LeMat-Bulk describes a geometry-optimized CoAg2I2 structure. The functional is PBE.

Output
theoretical density	6.449	Mg/m³
spin magnetization	2.2	μB per formula unit

Cell: 5.758 5.758 5.758 Å, 119.45 119.45 90.95°
Element x y z (fractional)
Co (0.000, 0.000, 0.000)
Ag (0.325, 0.325, 0.000)
Ag (0.675, 0.675, 0.000)
I (0.250, 0.750, 0.500)
I (0.750, 0.250, 0.500)

In terms of stability, A leads; the second structure lies 42 meV per atom higher.

A.
This record from Alexandria via LeMat-Bulk describes a geometry-optimized CoAg2I structure. The functional is PBE.

Output
theoretical density	7.975	Mg/m³
spin magnetization	1.9	μB per formula unit

Cell: 4.908 4.908 4.908 Å, 60.00 60.00 60.00°
Element x y z (fractional)
Co (0.000, 0.000, 0.000)
Ag (0.250, 0.250, 0.250)
Ag (0.750, 0.750, 0.750)
I (0.500, 0.500, 0.500)

B.
This record from Alexandria via LeMat-Bulk describes a geometry-optimized CoAg2I structure. The functional is PBE.

Output
theoretical density	7.538	Mg/m³
spin magnetization	1.3	μB per formula unit

Cell: 6.435 6.435 6.435 Å, 98.86 98.86 133.79°
Element x y z (fractional)
Co (0.000, 0.000, 0.000)
Co (0.750, 0.250, 0.500)
Ag (0.052, 0.125, 0.427)
Ag (0.375, 0.948, 0.073)
Ag (0.698, 0.625, 0.573)
Ag (0.875, 0.302, 0.927)
I (0.250, 0.750, 0.500)
I (0.500, 0.500, 0.000)

In terms of stability, B leads; the second structure lies 118 meV per atom higher.

A.
This record from Alexandria via LeMat-Bulk describes a geometry-optimized Co3AgI structure. The functional is PBE.

Output
theoretical density	6.200	Mg/m³
spin magnetization	5.6	μB per formula unit

Cell: 4.795 4.795 4.795 Å, 90.00 90.00 90.00°
Element x y z (fractional)
Co (0.000, 0.000, 0.500)
Co (0.000, 0.500, 0.000)
Co (0.500, 0.000, 0.000)
Ag (0.000, 0.000, 0.000)
I (0.500, 0.500, 0.500)

B.
This record from Alexandria via LeMat-Bulk describes a geometry-optimized Co3AgI structure. The functional is PBE.

Output
theoretical density	6.976	Mg/m³
spin magnetization	3.1	μB per formula unit

Cell: 4.610 4.610 4.610 Å, 90.00 90.00 90.00°
Element x y z (fractional)
Co (0.000, 0.000, 0.500)
Co (0.000, 0.500, 0.000)
Co (0.500, 0.000, 0.000)
Ag (0.500, 0.500, 0.500)
I (0.000, 0.000, 0.000)

In terms of stability, B leads; the second structure lies 200 meV per atom higher.

A.
This record from Alexandria via LeMat-Bulk describes a geometry-optimized CoAgI2N structure. The functional is PBE.

Output
theoretical density	4.750	Mg/m³
spin magnetization	2.3	μB per formula unit

Cell: 5.544 5.544 4.944 Å, 90.00 90.00 90.00°
Element x y z (fractional)
Co (0.000, 0.000, 0.000)
Ag (0.000, 0.000, 0.500)
I (0.000, 0.500, 0.500)
I (0.500, 0.000, 0.500)
N (0.500, 0.500, 0.000)

B.
This record from Alexandria via LeMat-Bulk describes a geometry-optimized CoAgI2N structure. The functional is PBE.

Output
theoretical density	6.744	Mg/m³
spin magnetization	0.0	μB per formula unit

Cell: 5.540 5.540 3.487 Å, 90.00 90.00 90.00°
Element x y z (fractional)
Co (0.000, 0.000, 0.000)
Ag (0.500, 0.500, 0.500)
I (0.000, 0.500, 0.000)
I (0.500, 0.000, 0.000)
N (0.000, 0.000, 0.500)

C.
This record from Alexandria via LeMat-Bulk describes a geometry-optimized CoAgI2N structure. The functional is PBE.

Output
theoretical density	5.288	Mg/m³
spin magnetization	4.4	μB per formula unit

Cell: 5.805 5.805 4.050 Å, 90.00 90.00 90.00°
Element x y z (fractional)
Co (0.000, 0.000, 0.000)
Ag (0.500, 0.500, 0.500)
I (0.000, 0.500, 0.500)
I (0.500, 0.000, 0.500)
N (0.500, 0.500, 0.000)

In terms of stability, B leads; the second structure lies 945 meV per atom higher.